Entry 1:
Here is crystalline Tb3Dy4Rh4 at its relaxed geometry from Alexandria. Energies are from PBE.

Cell and atoms, written as POSCAR:
```
Tb3Dy4Rh4
1.0
-1.878 4.430 7.931
1.878 -4.430 7.931
1.878 4.430 -7.931
Tb Dy Rh
3 4 4
direct
0.000 0.000 0.000 Tb
0.397 0.897 0.500 Tb
0.603 0.103 0.500 Tb
0.022 0.335 0.687 Dy
0.353 0.665 0.687 Dy
0.647 0.335 0.313 Dy
0.978 0.665 0.313 Dy
0.250 0.250 0.000 Rh
0.289 0.500 0.789 Rh
0.711 0.500 0.211 Rh
0.750 0.750 0.000 Rh
```

Space-group type: Immm, No. 71
ΔH_f (0 K), eV/atom: -0.631
Crystal system: orthorhombic
DOS(E_F), states/eV/f.u.: 7.64
Magnetization, μB/f.u.: 0.0


Entry 2:
Here is crystalline Tb5DyRh6 at its relaxed geometry from Alexandria. Energies are from PBE.

Cell and atoms, written as POSCAR:
```
Tb5DyRh6
1.0
2.430 -7.296 0.000
2.430 7.296 0.000
0.000 0.000 6.879
Tb Dy Rh
5 1 6
direct
0.000 0.000 0.000 Tb
0.333 0.667 0.000 Tb
0.334 0.666 0.500 Tb
0.666 0.334 0.500 Tb
0.667 0.333 0.000 Tb
0.000 0.000 0.500 Dy
0.166 0.834 0.250 Rh
0.166 0.834 0.750 Rh
0.500 0.500 0.251 Rh
0.500 0.500 0.749 Rh
0.834 0.166 0.250 Rh
0.834 0.166 0.750 Rh
```

Space-group type: Cmmm, No. 65
ΔH_f (0 K), eV/atom: -0.849
Crystal system: orthorhombic
DOS(E_F), states/eV/f.u.: 7.31
Magnetization, μB/f.u.: 0.0


Entry 3:
Here is crystalline Tb2DyRh at its relaxed geometry from Alexandria. Energies are from PBE.

Cell and atoms, written as POSCAR:
```
Tb2DyRh
1.0
3.818 0.000 0.000
0.000 11.849 0.000
0.000 0.000 9.501
Tb Dy Rh
8 4 4
direct
0.000 0.138 0.067 Tb
0.000 0.138 0.433 Tb
0.000 0.862 0.567 Tb
0.000 0.862 0.933 Tb
0.500 0.362 0.567 Tb
0.500 0.362 0.933 Tb
0.500 0.638 0.067 Tb
0.500 0.638 0.433 Tb
0.000 0.422 0.250 Dy
0.000 0.578 0.750 Dy
0.500 0.078 0.750 Dy
0.500 0.922 0.250 Dy
0.000 0.258 0.750 Rh
0.000 0.742 0.250 Rh
0.500 0.242 0.250 Rh
0.500 0.758 0.750 Rh
```

Space-group type: Cmcm, No. 63
ΔH_f (0 K), eV/atom: -0.486
Crystal system: orthorhombic
DOS(E_F), states/eV/f.u.: 4.88
Energy relative to the lowest polymorph listed for this composition, meV per atom: 33
Magnetization, μB/f.u.: 0.0


Entry 4:
Here is crystalline TbDyRh at its relaxed geometry from Alexandria. Energies are from PBE.

Cell and atoms, written as POSCAR:
```
TbDyRh
1.0
6.371 -3.679 0.000
6.371 3.679 0.000
-0.009 0.000 4.688
Tb Dy Rh
3 3 3
direct
0.000 0.000 0.000 Tb
0.406 0.187 0.000 Tb
0.813 0.594 0.000 Tb
0.142 0.594 0.500 Dy
0.406 0.858 0.500 Dy
0.671 0.329 0.500 Dy
0.073 0.260 0.500 Rh
0.406 0.594 0.000 Rh
0.740 0.927 0.500 Rh
```

Space-group type: C2, No. 5
ΔH_f (0 K), eV/atom: -0.603
Crystal system: monoclinic
DOS(E_F), states/eV/f.u.: 3.49
Energy relative to the lowest polymorph listed for this composition, meV per atom: 34
Magnetization, μB/f.u.: 0.0


Entry 5:
Here is crystalline TbDy3Rh2 at its relaxed geometry from Alexandria. Energies are from PBE.

Cell and atoms, written as POSCAR:
```
TbDy3Rh2
1.0
4.717 0.000 0.000
0.000 8.683 0.000
0.000 0.000 7.154
Tb Dy Rh
2 6 4
direct
0.000 0.085 0.000 Tb
0.000 0.915 0.500 Tb
0.000 0.333 0.629 Dy
0.000 0.667 0.129 Dy
0.500 0.167 0.348 Dy
0.500 0.415 0.977 Dy
0.500 0.585 0.477 Dy
0.500 0.833 0.848 Dy
0.000 0.339 0.232 Rh
0.000 0.661 0.732 Rh
0.500 0.162 0.745 Rh
0.500 0.838 0.245 Rh
```

Space-group type: Pmc2_1, No. 26
ΔH_f (0 K), eV/atom: -0.657
Crystal system: orthorhombic
DOS(E_F), states/eV/f.u.: 5.87
Energy relative to the lowest polymorph listed for this composition, meV per atom: 0
Magnetization, μB/f.u.: 0.0


Entry 6:
Here is crystalline TbDy2Rh4 at its relaxed geometry from Alexandria. Energies are from PBE.

Cell and atoms, written as POSCAR:
```
TbDy2Rh4
1.0
4.672 0.000 0.000
0.000 4.672 0.000
0.000 0.000 6.672
Tb Dy Rh
1 2 4
direct
0.000 0.000 0.000 Tb
0.000 0.000 0.500 Dy
0.500 0.500 0.000 Dy
0.000 0.500 0.256 Rh
0.000 0.500 0.744 Rh
0.500 0.000 0.256 Rh
0.500 0.000 0.744 Rh
```

Space-group type: P4/mmm, No. 123
ΔH_f (0 K), eV/atom: -0.467
Crystal system: tetragonal
DOS(E_F), states/eV/f.u.: 4.83
Magnetization, μB/f.u.: 0.0